# 1
Compound: ZrTa2Tl
Source: Alexandria
Functional: GGA-PBE
Structure: relaxed

The space group is P4mm (No. 99) and the conventional cell measures 3.060, 3.060 and 8.966 Å, with angles of 90.00, 90.00 and 90.00 degrees. Symmetry generates all atoms from Zr at (0.000, 0.000, 0.000), Ta at (0.000, 0.000, 0.469), Ta at (0.500, 0.500, 0.241) and Tl at (0.500, 0.500, 0.725).

The value obtained for the total DFT energy (no corrections) is -8.392 eV/atom. The calculation puts the formation energy at 0.263 eV per atom. The crystal system is tetragonal. As for the magnetic moment: 0.00 Bohr magnetons per cell.

# 2
Compound: ZrTa2Tl
Source: Alexandria
Functional: GGA-PBE
Structure: relaxed

The space group is P4/mmm (No. 123) and the conventional cell measures 3.589, 3.589 and 6.299 Å, with angles of 90.00, 90.00 and 90.00 degrees. Symmetry generates all atoms from Zr at (0.000, 0.000, 0.000), Ta at (0.500, 0.500, 0.241) and Tl at (0.000, 0.000, 0.500).

The value obtained for the total DFT energy (no corrections) is -8.336 eV/atom. The calculation puts the formation energy at 0.319 eV per atom. The crystal system is tetragonal. As for the magnetic moment: 0.00 Bohr magnetons per cell.

# 3
Compound: ZrTa2Tl
Source: Alexandria
Functional: GGA-PBE
Structure: relaxed

The space group is R3m (No. 160, hexagonal axes) and the conventional cell measures 3.2409, 3.2409 and 28.2426 Å, with angles of 90.00, 90.00 and 120.00 degrees. Symmetry generates all atoms from Zr at (0.0000, 0.0000, 0.0000), Ta at (0.0000, 0.0000, 0.2516), Ta at (0.0000, 0.0000, 0.5133) and Tl at (0.0000, 0.0000, 0.7586).

The value obtained for the total DFT energy (no corrections) is -8.364 eV/atom. The calculation puts the formation energy at 0.291 eV per atom. The crystal system is trigonal. As for the magnetic moment: 0.01 Bohr magnetons per cell.

# 4
Compound: ZrTaTl2
Source: Alexandria
Functional: GGA-PBE
Structure: relaxed

The space group is P4mm (No. 99) and the conventional cell measures 3.805, 3.805 and 6.270 Å, with angles of 90.00, 90.00 and 90.00 degrees. Symmetry generates all atoms from Zr at (0.000, 0.000, 0.000), Ta at (0.500, 0.500, 0.209), Tl at (0.000, 0.000, 0.470) and Tl at (0.500, 0.500, 0.730).

The value obtained for the total DFT energy (no corrections) is -5.954 eV/atom. The calculation puts the formation energy at 0.330 eV per atom. The crystal system is tetragonal. As for the magnetic moment: 0.00 Bohr magnetons per cell.

# 5
Compound: ZrTaTl2
Source: Alexandria
Functional: GGA-PBE
Structure: relaxed

The space group is P4/mmm (No. 123) and the conventional cell measures 3.755, 3.755 and 6.176 Å, with angles of 90.00, 90.00 and 90.00 degrees. Symmetry generates all atoms from Zr at (0.000, 0.000, 0.000), Ta at (0.000, 0.000, 0.500) and Tl at (0.500, 0.500, 0.258).

The value obtained for the total DFT energy (no corrections) is -5.862 eV/atom. The calculation puts the formation energy at 0.422 eV per atom. The crystal system is tetragonal. As for the magnetic moment: 0.00 Bohr magnetons per cell.

# 6
Compound: ZrTa2Tl
Source: Alexandria
Functional: GGA-PBE
Structure: relaxed

The space group is I-4m2 (No. 119) and the conventional cell measures 4.350, 4.350 and 8.582 Å, with angles of 90.00, 90.00 and 90.00 degrees. Symmetry generates all atoms from Zr at (0.000, 0.000, 0.000), Ta at (0.000, 0.000, 0.500), Ta at (0.000, 0.500, 0.750) and Tl at (0.000, 0.500, 0.250).

The value obtained for the total DFT energy (no corrections) is -8.362 eV/atom. The calculation puts the formation energy at 0.293 eV per atom. The crystal system is tetragonal. As for the magnetic moment: 0.00 Bohr magnetons per cell.